An optimized crystal structure of WCl2O, computed with PBE+U. Values from VASP.

- Excess energy over the best structure of this formula in the dataset: 0.000 eV per atom
- D(E_F): 0.7 states/eV/f.u.
- Magnetization: 2.0 μB per formula unit
- Total energy: -0.3697 Ry per atom

Cell and atoms, written as Quantum ESPRESSO input:
```
&SYSTEM
  ibrav = 0, nat = 16, ntyp = 3
/
ATOMIC_SPECIES
W 183.84 W.upf
Cl 35.45 Cl.upf
O 16.00 O.upf
CELL_PARAMETERS angstrom
9.377 0.000 0.000
0.000 9.377 0.000
0.000 0.000 3.877
ATOMIC_POSITIONS angstrom
W 0.000 0.000 0.000
W 0.000 4.689 0.969
W 4.689 0.000 2.908
W 4.689 4.689 1.938
Cl 0.898 2.344 0.485
Cl 2.344 5.587 1.454
Cl 2.344 8.479 3.392
Cl 3.791 2.344 2.423
Cl 5.587 7.033 2.423
Cl 7.033 0.898 3.392
Cl 7.033 3.791 1.454
Cl 8.479 7.033 0.485
O 0.000 0.000 1.938
O 0.000 4.689 2.908
O 4.689 0.000 0.969
O 4.689 4.689 0.000
```